[1]
! KCa2MgCu | Alexandria | PBE | relaxed; values from VASP
! - D(E_F) (states/eV/cell) = 4.22
! - calculated formation energy (eV/f.u.) = 0.38
! - calculated total energy (eV/cell) = -10.4
! - crystal system = tetragonal
&SYSTEM
  ibrav = 0, nat = 5, ntyp = 4
/
ATOMIC_SPECIES
K 39.10 K.upf
Ca 40.08 Ca.upf
Mg 24.30 Mg.upf
Cu 63.55 Cu.upf
CELL_PARAMETERS angstrom
5.776 0.000 0.000
0.000 5.776 0.000
0.000 0.000 5.253
ATOMIC_POSITIONS angstrom
K 0.000 0.000 0.000
Ca 0.000 2.888 2.626
Ca 2.888 0.000 2.626
Mg 2.888 2.888 0.000
Cu 2.888 2.888 2.626

=====

[2]
! KTl2Sb | Alexandria | PBE | relaxed; values from VASP
! - D(E_F) (states/eV/cell) = 2.46
! - calculated total energy (eV/cell) = -10.3
! - uncorrected formation energy (meV per atom) = -79.8
! - crystal system = monoclinic
&SYSTEM
  ibrav = 0, nat = 4, ntyp = 3
/
ATOMIC_SPECIES
K 39.10 K.upf
Tl 204.38 Tl.upf
Sb 121.76 Sb.upf
CELL_PARAMETERS angstrom
6.168 0.000 0.000
0.000 3.422 0.000
-2.668 0.000 6.066
ATOMIC_POSITIONS angstrom
K 0.000 0.000 0.000
Tl -1.334 1.711 3.033
Tl 1.750 0.000 3.033
Sb 3.084 1.711 0.000

=====

[3]
! BN3Cl | Alexandria | PBE | relaxed; values from VASP
! - D(E_F) (states/eV/cell) = 2.03
! - calculated total energy (eV/cell) = -22.2
! - uncorrected formation energy (meV per atom) = 2266.7
! - crystal system = cubic
&SYSTEM
  ibrav = 0, nat = 5, ntyp = 3
/
ATOMIC_SPECIES
B 10.81 B.upf
N 14.01 N.upf
Cl 35.45 Cl.upf
CELL_PARAMETERS angstrom
3.432 0.000 0.000
0.000 3.432 0.000
0.000 0.000 3.432
ATOMIC_POSITIONS angstrom
B 0.000 0.000 0.000
N 0.000 0.000 1.716
N 0.000 1.716 0.000
N 1.716 0.000 0.000
Cl 1.716 1.716 1.716